(1)
First-principles (PBE-GGA) data for a geometry-optimized CsAg6Te4 structure, as listed in Alexandria via LeMat-Bulk.

Output
V in Å³/cell: 320
Calculated total energy in eV for the cell shown: -33.1
Space group: I4/mmm (139)
Offset from the most stable computed form in meV per atom: 0
Magnetization in μB per cell: 0.0
Uncorrected formation energy in eV/atom: -0.23

Unit cell a=15.0193 b=15.0193 c=15.0193 alpha=162.10 beta=162.10 gamma=25.41
Sites, in units of the cell vectors:
Cs (0.0000, 0.0000, 0.0000)
Ag (0.1282, 0.6282, 0.5000)
Ag (0.2500, 0.7500, 0.5000)
Ag (0.3718, 0.8718, 0.5000)
Ag (0.6282, 0.1282, 0.5000)
Ag (0.7500, 0.2500, 0.5000)
Ag (0.8718, 0.3718, 0.5000)
Te (0.1918, 0.1918, 0.0000)
Te (0.4251, 0.4251, 0.0000)
Te (0.5749, 0.5749, 0.0000)
Te (0.8082, 0.8082, 0.0000)

***

(2)
First-principles (PBE-GGA) data for a geometry-optimized SmNbGe2 structure, as listed in Alexandria via LeMat-Bulk.

Output
V in Å³/cell: 87
Calculated total energy in eV for the cell shown: -26.0
Space group: R-3m (166)
Calculated formation energy in eV per formula unit: -2.025
Magnetization in μB per cell: 0.0

Unit cell a=6.9199 b=6.9199 c=6.9199 alpha=32.95 beta=32.95 gamma=32.95
Sites, in units of the cell vectors:
Sm (0.0000, 0.0000, 0.0000)
Nb (0.5000, 0.5000, 0.5000)
Ge (0.2388, 0.2388, 0.2388)
Ge (0.7612, 0.7612, 0.7612)

***

(3)
First-principles (PBE-GGA) data for a geometry-optimized AsP2PtCl structure, as listed in Alexandria via LeMat-Bulk.

Output
V in Å³/cell: 106
Calculated total energy in eV for the cell shown: -19.9
Space group: P4/mmm (123)
Offset from the most stable computed form in meV per atom: 0
Magnetization in μB per cell: 0.0
Uncorrected formation energy in eV/atom: 0.68

Unit cell a=4.6971 b=4.6971 c=4.7974 alpha=90.00 beta=90.00 gamma=90.00
Sites, in units of the cell vectors:
As (0.0000, 0.0000, 0.0000)
P (0.0000, 0.5000, 0.5000)
P (0.5000, 0.0000, 0.5000)
Pt (0.5000, 0.5000, 0.5000)
Cl (0.5000, 0.5000, 0.0000)